No. 1
Computed, not measured: PmNdCu2 after structural relaxation at the PBE-GGA level of DFT.

Computed properties:
DFT formation energy: -57.0 kJ/mol of formula units
excess energy over the best structure of this formula in the dataset: 0.037 eV per atom
E: -0.336 Ry/atom

Cell and atoms, written as extended XYZ:
```
4
Lattice="0.0000 3.5785 3.5785 3.5785 0.0000 3.5785 3.5785 3.5785 0.0000" Properties=species:S:1:pos:R:3 pbc="T T T"
Pm 0.0000 0.0000 0.0000
Nd 3.5785 3.5785 3.5785
Cu 1.7892 1.7892 1.7892
Cu 5.3677 5.3677 5.3677
```

No. 2
Computed, not measured: Nd2Y2ErTm2 after structural relaxation at the PBE-GGA level of DFT.

Computed properties:
DFT formation energy: 58.7 kJ/mol of formula units
E: -0.371 Ry/atom

Cell and atoms, written as extended XYZ:
```
7
Lattice="5.8611 -1.7539 0.0000 5.8611 1.7539 0.0000 -3.8019 0.0000 11.1587" Properties=species:S:1:pos:R:3 pbc="T T T"
Nd 1.6904 0.0000 0.9632
Nd 6.2300 0.0000 10.1955
Y -2.3597 0.0000 8.5807
Y 10.2801 0.0000 2.5779
Er 3.9602 0.0000 5.5793
Tm 0.7711 0.0000 7.0708
Tm 7.1493 0.0000 4.0878
```

No. 3
Computed, not measured: La2TlAs after structural relaxation at the PBE-GGA level of DFT.

Computed properties:
DFT formation energy: -343.3 kJ/mol of formula units
excess energy over the best structure of this formula in the dataset: 0.044 eV per atom
E: -0.375 Ry/atom

Cell and atoms, written as extended XYZ:
```
4
Lattice="2.1047 1.2151 8.5180 -2.1047 1.2151 8.5180 0.0000 -2.4303 8.5180" Properties=species:S:1:pos:R:3 pbc="T T T"
La 0.0000 0.0000 0.0000
La 0.0000 0.0000 4.9598
Tl 0.0000 0.0000 19.5072
As 0.0000 0.0000 15.2258
```

No. 4
Computed, not measured: LaBeNi2 after structural relaxation at the PBE-GGA level of DFT.

Computed properties:
DFT formation energy: -41.4 kJ/mol of formula units
E: -0.379 Ry/atom

Cell and atoms, written as extended XYZ:
```
4
Lattice="3.8618 0.0000 0.0000 0.0000 3.8736 0.0000 -0.8651 0.0000 4.5720" Properties=species:S:1:pos:R:3 pbc="T T T"
La 0.0000 0.0000 0.0000
Be 1.0742 1.9368 3.0322
Ni 1.3805 0.0000 2.2362
Ni 3.0186 1.9368 2.1329
```

No. 5
Computed, not measured: Pm10NdDy4 after structural relaxation at the PBE-GGA level of DFT.

Computed properties:
DFT formation energy: 1024.4 kJ/mol of formula units
E: -0.294 Ry/atom

Cell and atoms, written as extended XYZ:
```
15
Lattice="-6.1731 6.1731 3.8926 6.1731 -6.1731 3.8926 6.1731 6.1731 -3.8926" Properties=species:S:1:pos:R:3 pbc="T T T"
Pm 7.4095 3.6820 -1.9570
Pm 3.6820 4.9366 -1.9570
Pm 6.1731 0.0000 1.9463
Pm 2.4910 1.2365 1.9355
Pm -1.2365 2.4910 1.9355
Pm 7.4095 3.6820 1.9570
Pm 3.6820 4.9366 1.9570
Pm 0.0000 6.1731 1.9463
Pm 2.4910 1.2365 5.8496
Pm -1.2365 2.4910 5.8496
Nd 0.0000 0.0000 3.8926
Dy 8.6420 1.2366 0.0000
Dy 1.2366 3.7041 0.0000
Dy 4.9365 2.4690 3.8926
Dy -2.4690 4.9365 3.8926
```

No. 6
Computed, not measured: Ac4PCBr2 after structural relaxation at the PBE-GGA level of DFT.

Computed properties:
E: -0.396 Ry/atom

Cell and atoms, written as extended XYZ:
```
8
Lattice="7.4271 0.0000 0.0000 0.0000 4.1985 0.0000 -2.3887 0.0000 7.8461" Properties=species:S:1:pos:R:3 pbc="T T T"
Ac 1.1064 0.0000 1.4956
Ac -0.0936 2.0992 6.2826
Ac 5.1320 2.0992 1.5635
Ac 3.9319 0.0000 6.3505
P 3.7136 0.0000 0.0000
C 0.0000 2.0992 0.0000
Br -1.1944 0.0000 3.9230
Br 2.5192 2.0992 3.9230
```

No. 7
Computed, not measured: AlAgOs2 after structural relaxation at the PBE-GGA level of DFT.

Computed properties:
DFT formation energy: 129.1 kJ/mol of formula units
E: -0.509 Ry/atom

Cell and atoms, written as extended XYZ:
```
4
Lattice="-1.9990 1.9990 3.7327 1.9990 -1.9990 3.7327 1.9990 1.9990 -3.7327" Properties=species:S:1:pos:R:3 pbc="T T T"
Al 0.0000 0.0000 0.0000
Ag 0.0000 1.9990 1.8664
Os 1.9990 0.0000 1.8664
Os 0.0000 0.0000 3.7327
```

No. 8
Computed, not measured: ZnHg2Au after structural relaxation at the PBE-GGA level of DFT.

Computed properties:
DFT formation energy: 34.0 kJ/mol of formula units
E: -0.088 Ry/atom

Cell and atoms, written as extended XYZ:
```
4
Lattice="4.5870 -1.8462 0.0000 4.5870 1.8462 0.0000 -1.0557 0.0000 4.8854" Properties=species:S:1:pos:R:3 pbc="T T T"
Zn 0.0000 0.0000 0.0000
Hg 1.4921 0.0000 3.6879
Hg 6.6261 0.0000 1.1975
Au 4.0591 0.0000 2.4427
```

No. 9
Computed, not measured: Ce3Sm2DySb6 after structural relaxation at the PBE-GGA level of DFT.

Computed properties:
E: -0.428 Ry/atom

Cell and atoms, written as extended XYZ:
```
12
Lattice="3.8725 -6.7064 0.0000 3.8725 6.7064 0.0000 -2.5831 0.0000 7.3017" Properties=species:S:1:pos:R:3 pbc="T T T"
Ce 0.0000 0.0000 0.0000
Ce 3.8725 2.2524 0.0000
Ce 3.8725 -2.2524 0.0000
Sm 2.5809 4.4771 3.6508
Sm 2.5809 -4.4771 3.6508
Dy 2.5809 0.0000 3.6508
Sb 1.3037 2.2149 1.8467
Sb 0.0248 0.0000 5.4664
Sb 1.3037 -2.2149 1.8467
Sb 3.8582 2.2149 5.4550
Sb 5.1370 0.0000 1.8353
Sb 3.8582 -2.2149 5.4550
```

No. 10
Computed, not measured: Tb2Si3Pt9 after structural relaxation at the PBE-GGA level of DFT.

Computed properties:
E: -0.489 Ry/atom

Cell and atoms, written as extended XYZ:
```
28
Lattice="6.6529 -3.8478 0.0000 6.6529 3.8478 0.0000 -4.4922 0.0000 8.9956" Properties=species:S:1:pos:R:3 pbc="T T T"
Tb 1.1361 0.6552 2.2535
Tb -1.1100 -0.6552 6.7513
Tb 9.9236 0.6552 2.2443
Tb 7.6775 -0.6552 6.7421
Si 3.3265 1.9239 0.0000
Si 3.2181 2.0689 4.5117
Si 3.3495 2.0689 8.9817
Si 1.0804 -1.9239 4.4978
Si 5.4642 -2.0689 0.0139
Si 5.5956 -2.0689 4.4839
Pt 5.5159 3.2455 0.6695
Pt 5.5439 3.2455 3.8282
Pt 1.0757 0.6480 5.1704
Pt 4.0546 1.4908 2.3079
Pt 1.0201 0.6887 8.4059
Pt 3.3218 -0.6480 0.6726
Pt 3.2838 1.0874 6.7467
Pt 7.0051 1.4908 2.1899
Pt 3.2662 -0.6887 3.9082
Pt 5.5475 0.6887 5.0874
Pt 1.8086 -1.4908 6.8057
Pt 5.5299 -1.0874 2.2489
Pt 5.4918 0.6480 8.3230
Pt 7.7935 -0.6887 0.5896
Pt 4.7590 -1.4908 6.6876
Pt 7.7379 -0.6480 3.8252
Pt 3.2698 -3.2455 5.1673
Pt 3.2978 -3.2455 8.3260
```

No. 11
Computed, not measured: K2Tm2UTe6 after structural relaxation at the PBE-GGA level of DFT.

Computed properties:
E: -0.361 Ry/atom

Cell and atoms, written as extended XYZ:
```
11
Lattice="3.8084 -6.5968 0.0000 3.8084 6.5968 0.0000 -2.5428 0.0000 8.4434" Properties=species:S:1:pos:R:3 pbc="T T T"
K 3.8084 4.4009 0.0000
K 3.8084 -4.4009 0.0000
Tm 2.5370 2.2140 4.2217
Tm 2.5370 -2.2140 4.2217
U -1.2714 0.0000 4.2217
Te 0.0098 2.1926 5.9554
Te 1.2830 0.0000 2.5040
Te 0.0098 -2.1926 5.9554
Te 5.0642 2.1926 2.4880
Te 3.7910 0.0000 5.9395
Te 5.0642 -2.1926 2.4880
```

No. 12
Computed, not measured: LiCa4Tl after structural relaxation at the PBE-GGA level of DFT.

Computed properties:
DFT formation energy: 142.3 kJ/mol of formula units
excess energy over the best structure of this formula in the dataset: 0.392 eV per atom
E: -0.132 Ry/atom

Cell and atoms, written as extended XYZ:
```
6
Lattice="0.0000 4.9059 4.9059 4.9059 0.0000 4.9059 4.9059 4.9059 0.0000" Properties=species:S:1:pos:R:3 pbc="T T T"
Li 0.0000 0.0000 0.0000
Ca 3.6830 3.6830 3.6830
Ca 6.1289 6.1289 3.6830
Ca 6.1289 3.6830 6.1289
Ca 3.6830 6.1289 6.1289
Tl 7.3589 7.3589 7.3589
```

> Number 2 is which compound?

Nd2Y2ErTm2

> The highest E belongs to which entry?

ZnHg2Au

> The lowest E belongs to which entry?

AlAgOs2

> E of number 10 (Tb2Si3Pt9)?

-0.489 Ry/atom